# TlCo4O8

An optimized crystal structure of TlCo4O8 (PBE with a Hubbard U, the Alexandria database).

POSCAR file:
```
TlCo4O8
1.0
5.107 0.000 2.949
1.703 4.815 2.949
0.000 0.000 5.898
Tl Co O
1 4 8
direct
0.750 0.750 0.750
0.887 0.371 0.371
0.371 0.887 0.371
0.371 0.371 0.887
0.371 0.371 0.371
0.564 0.145 0.145
0.145 0.564 0.145
0.145 0.145 0.564
0.145 0.145 0.145
0.190 0.603 0.603
0.603 0.190 0.603
0.603 0.603 0.190
0.603 0.603 0.603
```

Computed properties:
- final energy (eV per cell) = -72.5
- calculated density (g/cm3) = 6.504
- D(E_F) (states/eV per cell) = 7.63